Tb2DyYAs4 | Alexandria via LeMat-Bulk | PBE | relaxed; E_form = -1.54 eV/atom
1.0
7.152 0.000 0.000
0.000 4.131 0.000
-2.383 0.000 6.744
Tb Dy Y As
2 1 1 4
Direct
0.000 0.000 0.000 Tb
0.000 0.500 0.500 Tb
0.500 0.000 0.500 Dy
0.500 0.500 0.000 Y
0.251 0.000 0.750 As
0.251 0.500 0.251 As
0.749 0.000 0.250 As
0.749 0.500 0.749 As


Tb2DyY3As6 | Alexandria via LeMat-Bulk | PBE | relaxed; E_form = -1.55 eV/atom
1.0
3.575 -6.191 0.000
3.575 6.191 0.000
-2.380 0.000 6.741
Tb Dy Y As
2 1 3 6
Direct
0.167 0.833 0.000 Tb
0.833 0.167 0.000 Tb
0.500 0.500 0.000 Dy
0.000 0.000 0.500 Y
0.333 0.667 0.500 Y
0.667 0.333 0.500 Y
0.084 0.417 0.750 As
0.251 0.251 0.250 As
0.417 0.084 0.750 As
0.583 0.916 0.250 As
0.749 0.749 0.750 As
0.916 0.583 0.250 As


TbDy2Y3As6 | Alexandria via LeMat-Bulk | PBE | relaxed; E_form = -1.55 eV/atom
1.0
3.572 -6.186 0.000
3.572 6.186 0.000
-2.378 0.000 6.736
Tb Dy Y As
1 2 3 6
Direct
0.000 0.000 0.000 Tb
0.333 0.667 0.000 Dy
0.667 0.333 0.000 Dy
0.166 0.834 0.500 Y
0.500 0.500 0.500 Y
0.834 0.166 0.500 Y
0.083 0.417 0.250 As
0.251 0.251 0.750 As
0.417 0.083 0.250 As
0.583 0.917 0.750 As
0.749 0.749 0.250 As
0.917 0.583 0.750 As


TbDyZr2As4 | Alexandria via LeMat-Bulk | PBE | relaxed; E_form = -1.32 eV/atom
1.0
6.884 0.000 0.000
0.000 3.969 0.000
-2.301 0.000 6.573
Tb Dy Zr As
1 1 2 4
Direct
0.000 0.000 0.000 Tb
0.500 0.500 0.000 Dy
0.000 0.500 0.500 Zr
0.500 0.000 0.500 Zr
0.246 0.000 0.737 As
0.255 0.500 0.264 As
0.745 0.500 0.736 As
0.754 0.000 0.263 As


Dy4Te3As | Alexandria via LeMat-Bulk | PBE | relaxed; formation energy from raw total energies = -1394 meV/atom
1.0
8.697 0.000 0.000
0.000 12.187 0.000
0.000 0.000 4.258
Dy Te As
8 6 2
Direct
0.000 0.232 0.000 Dy
0.000 0.768 0.000 Dy
0.222 0.000 0.500 Dy
0.278 0.500 0.500 Dy
0.500 0.268 0.000 Dy
0.500 0.732 0.000 Dy
0.722 0.500 0.500 Dy
0.778 0.000 0.500 Dy
0.000 0.500 0.000 Te
0.250 0.250 0.500 Te
0.250 0.750 0.500 Te
0.500 0.000 0.000 Te
0.750 0.250 0.500 Te
0.750 0.750 0.500 Te
0.000 0.000 0.000 As
0.500 0.500 0.000 As


Dy5TeAs4 | Alexandria via LeMat-Bulk | PBE | relaxed; formation energy from raw total energies = -1517 meV/atom
1.0
-2.076 2.953 10.449
2.076 -2.953 10.449
2.076 2.953 -10.449
Dy Te As
5 1 4
Direct
0.000 0.000 0.000 Dy
0.198 0.198 0.000 Dy
0.389 0.389 0.000 Dy
0.611 0.611 0.000 Dy
0.802 0.802 0.000 Dy
0.500 0.000 0.500 Te
0.099 0.599 0.500 As
0.297 0.797 0.500 As
0.703 0.203 0.500 As
0.901 0.401 0.500 As


no.,calculated volume (Å³ per cell)
1,199
2,298
3,298
4,180
5,451
6,256